No. 1
First-principles (PBE) data for a relaxed structure of Nd3MgTl4, as listed in the Alexandria database.

a = 3.6668 Å, b = 3.6668 Å, c = 16.7095 Å
α = 90.00°, β = 90.00°, γ = 90.00°
With the nearest neighbours (Å) after each atom.
Positions (direct):
Tl  0.0000  0.0000  0.3674  8 Nd 3.38-3.41, 4 Tl 3.67
Tl  0.0000  0.0000  0.1052  4 Mg 3.13, 4 Nd 3.41
Tl  0.0000  0.0000  0.6326  8 Nd 3.38-3.41, 4 Tl 3.67
Tl  0.0000  0.0000  0.8948  4 Mg 3.13, 4 Nd 3.41
Mg  0.5000  0.5000  0.0000  8 Tl 3.13
Nd  0.5000  0.5000  0.5000  8 Tl 3.41, 4 Nd 3.67
Nd  0.5000  0.5000  0.7625  8 Tl 3.38-3.41, 4 Nd 3.67
Nd  0.5000  0.5000  0.2375  8 Tl 3.38-3.41, 4 Nd 3.67

Summary:
ΔE to the lowest computed polymorph = 0 meV/atom
Total magnetic moment = 0.00 μB per cell
Formation enthalpy at 0 K = -2.455 eV/f.u.

No. 2
First-principles (PBE) data for a relaxed structure of Ba3UTe6, as listed in the Alexandria database.

a = 9.6316 Å, b = 9.6316 Å, c = 9.6316 Å
α = 97.51°, β = 97.51°, γ = 97.51°
With the nearest neighbours (Å) after each atom.
Positions (direct):
Ba  0.2876  0.1025  0.6317  6 Te 3.48-3.55
Ba  0.3683  0.7124  0.8975  6 Te 3.48-3.55
Ba  0.7124  0.8975  0.3683  6 Te 3.48-3.55
Ba  0.8975  0.3683  0.7124  6 Te 3.48-3.55
Ba  0.1025  0.6317  0.2876  6 Te 3.48-3.55
Ba  0.6317  0.2876  0.1025  6 Te 3.48-3.55
Te  0.9872  0.3046  0.0650  1 U 2.94
Te  0.3046  0.0650  0.9872  1 U 2.94
Te  0.5740  0.4496  0.7948  1 U 2.95
Te  0.9350  0.0128  0.6954  1 U 2.94
Te  0.2052  0.4260  0.5504  1 U 2.95
Te  0.0650  0.9872  0.3046  1 U 2.94
Te  0.6954  0.9350  0.0128  1 U 2.94
Te  0.0128  0.6954  0.9350  1 U 2.94
Te  0.5504  0.2052  0.4260  1 U 2.95
Te  0.7948  0.5740  0.4496  1 U 2.95
Te  0.4260  0.5504  0.2052  1 U 2.95
Te  0.4496  0.7948  0.5740  1 U 2.95
U  0.0000  0.0000  0.0000  6 Te 2.94
U  0.5000  0.5000  0.5000  6 Te 2.95

Summary:
Raw formation energy = -12.0 eV per formula unit
Total magnetic moment = 0.10 μB per cell